Compound: Tb4PAuS2
Source: Alexandria via LeMat-Bulk
Functional: PBE-GGA
Structure: optimized geometry

The structure in extended XYZ format:
```
8
Lattice="-1.7787 -2.5367 -2.4863 2.7146 -5.4013 3.5687 -4.4695 -1.8081 5.0423" Properties=species:S:1:pos:R:3 pbc="T T T"
Tb -3.5191 -3.9486 3.3728
Tb -2.3047 -4.3014 -0.3095
Tb -1.2290 -5.4447 6.4342
Tb -0.0145 -5.7975 2.7519
P -0.8775 -3.6047 4.3055
S -4.4695 -1.8081 5.0423
S -3.1241 -2.1724 1.2780
Au 0.4679 -3.9690 0.5412
```

ΔE_f (raw) (eV/atom): -1.58
Electronic total energy (eV/atom): -6.016